[1]
# AcSmBrN (PBE, optimized geometry)
data_AcSmBrN
_symmetry_space_group_name_H-M 'C 1 m 1'
_symmetry_Int_Tables_number 8
_cell_length_a 6.560
_cell_length_b 3.769
_cell_length_c 8.111
_cell_angle_alpha 90.00
_cell_angle_beta 105.58
_cell_angle_gamma 90.00
loop_
_symmetry_equiv_pos_as_xyz
'x,y,z'
'x,-y,z'
'x+1/2,y+1/2,z'
'x+1/2,-y+1/2,z'
loop_
_atom_site_label
_atom_site_type_symbol
_atom_site_fract_x
_atom_site_fract_y
_atom_site_fract_z
Ac1 Ac 0.000 0.000 0.000
Sm1 Sm 0.288 0.500 0.362
Br1 Br 0.217 0.000 0.651
N1 N 0.408 0.000 0.221
# energy: -6.03 eV per atom
# formation energy (no corrections): -1.3221 eV/atom
# V: 193.2 Å³/cell
# total moment: 0.00 μB/atom


[2]
# SrAcBrN (PBE, optimized geometry)
data_SrAcBrN
_symmetry_space_group_name_H-M 'R 3 m'
_symmetry_Int_Tables_number 160
_symmetry_space_group_name_Hall 'R 3 -2"'
_cell_length_a 4.0265
_cell_length_b 4.0265
_cell_length_c 23.1931
_cell_angle_alpha 90.00
_cell_angle_beta 90.00
_cell_angle_gamma 120.00
loop_
_atom_site_label
_atom_site_type_symbol
_atom_site_fract_x
_atom_site_fract_y
_atom_site_fract_z
Sr1 Sr 0.0000 0.0000 0.0000
Ac1 Ac 0.0000 0.0000 0.7897
Br1 Br 0.0000 0.0000 0.2328
N1 N 0.0000 0.0000 0.4129
# energy: -5.18 eV per atom
# formation energy (no corrections): -1.2354 eV/atom
# V: 325.7 Å³/cell
# total moment: 0.24 μB/atom


[3]
# Ac2TeBrN (PBE, optimized geometry)
data_Ac2TeBrN
_symmetry_space_group_name_H-M 'C 1 2/m 1'
_symmetry_Int_Tables_number 12
_cell_length_a 17.328
_cell_length_b 4.364
_cell_length_c 11.643
_cell_angle_alpha 90.00
_cell_angle_beta 127.27
_cell_angle_gamma 90.00
loop_
_symmetry_equiv_pos_as_xyz
'x,y,z'
'-x,-y,-z'
'-x,y,-z'
'x,-y,z'
'x+1/2,y+1/2,z'
'-x+1/2,-y+1/2,-z'
'-x+1/2,y+1/2,-z'
'x+1/2,-y+1/2,z'
loop_
_atom_site_label
_atom_site_type_symbol
_atom_site_fract_x
_atom_site_fract_y
_atom_site_fract_z
Ac1 Ac 0.096 0.000 0.359
Ac2 Ac 0.125 0.500 0.683
Te1 Te 0.216 0.500 0.287
Br1 Br 0.128 0.000 0.891
N1 N 0.051 0.500 0.423
# energy: -5.89 eV per atom
# formation energy (no corrections): -1.6208 eV/atom
# V: 700.7 Å³/cell
# total moment: 0.00 μB/atom


[4]
# Na2AcBr6 (PBE, optimized geometry)
data_Na2AcBr6
_symmetry_space_group_name_H-M 'C 1 2/m 1'
_symmetry_Int_Tables_number 12
_cell_length_a 15.706
_cell_length_b 5.269
_cell_length_c 9.867
_cell_angle_alpha 90.00
_cell_angle_beta 125.29
_cell_angle_gamma 90.00
loop_
_symmetry_equiv_pos_as_xyz
'x,y,z'
'-x,-y,-z'
'-x,y,-z'
'x,-y,z'
'x+1/2,y+1/2,z'
'-x+1/2,-y+1/2,-z'
'-x+1/2,y+1/2,-z'
'x+1/2,-y+1/2,z'
loop_
_atom_site_label
_atom_site_type_symbol
_atom_site_fract_x
_atom_site_fract_y
_atom_site_fract_z
Na1 Na 0.170 0.000 0.098
Ac1 Ac 0.000 0.000 0.500
Br1 Br 0.038 0.000 0.223
Br2 Br 0.126 0.500 0.528
Br3 Br 0.226 0.000 0.839
# energy: -3.35 eV per atom
# formation energy (no corrections): -1.4843 eV/atom
# V: 666.5 Å³/cell
# total moment: 0.08 μB/atom


[5]
# Na5Ac3Br12 (PBE, optimized geometry)
data_Na5Ac3Br12
_symmetry_space_group_name_H-M 'I a -3 d'
_symmetry_Int_Tables_number 230
_symmetry_space_group_name_Hall '-I 4bd 2c 3'
_cell_length_a 17.590
_cell_length_b 17.590
_cell_length_c 17.590
_cell_angle_alpha 90.00
_cell_angle_beta 90.00
_cell_angle_gamma 90.00
loop_
_atom_site_label
_atom_site_type_symbol
_atom_site_fract_x
_atom_site_fract_y
_atom_site_fract_z
Na1 Na 0.000 0.000 0.000
Na2 Na 0.000 0.250 0.375
Ac1 Ac 0.000 0.250 0.125
Br1 Br 0.022 0.068 0.653
# energy: -3.56 eV per atom
# formation energy (no corrections): -1.6074 eV/atom
# V: 5442.5 Å³/cell
# total moment: 0.01 μB/atom


[6]
# NaAcBr4 (PBE, optimized geometry)
data_NaAcBr4
_symmetry_space_group_name_H-M 'P 1 21/c 1'
_symmetry_Int_Tables_number 14
_cell_length_a 7.545
_cell_length_b 7.576
_cell_length_c 7.473
_cell_angle_alpha 90.00
_cell_angle_beta 91.54
_cell_angle_gamma 90.00
loop_
_symmetry_equiv_pos_as_xyz
'x,y,z'
'-x,-y,-z'
'-x,y+1/2,-z+1/2'
'x,-y+1/2,z+1/2'
loop_
_atom_site_label
_atom_site_type_symbol
_atom_site_fract_x
_atom_site_fract_y
_atom_site_fract_z
Na1 Na 0.000 0.000 0.000
Ac1 Ac 0.500 0.000 0.500
Br1 Br 0.177 0.171 0.328
Br2 Br 0.334 0.660 0.339
# energy: -3.84 eV per atom
# formation energy (no corrections): -1.8214 eV/atom
# V: 427.1 Å³/cell
# total moment: 0.00 μB/atom